No. 1
# PBEsol Al5Ag3, relaxed
data_Al5Ag3
_cell_length_a 2.927
_cell_length_b 7.958
_cell_length_c 11.159
_cell_angle_alpha 90.00
_cell_angle_beta 90.00
_cell_angle_gamma 90.00
_symmetry_space_group_name_H-M 'A m m 2'
_symmetry_Int_Tables_number 38
loop_
_symmetry_equiv_pos_as_xyz
'x,y,z'
'-x,-y,z'
'-x,y,z'
'x,-y,z'
'x,y+1/2,z+1/2'
'-x,-y+1/2,z+1/2'
'-x,y+1/2,z+1/2'
'x,-y+1/2,z+1/2'
loop_
_atom_site_label
_atom_site_type_symbol
_atom_site_fract_x
_atom_site_fract_y
_atom_site_fract_z
_atom_site_occupancy
Al1 Al 0.000 0.000 0.000 1
Al2 Al 0.000 0.000 0.249 1
Al3 Al 0.000 0.000 0.502 1
Al4 Al 0.500 0.248 0.631 1
Ag1 Ag 0.000 0.000 0.747 1
Ag2 Ag 0.500 0.245 0.382 1
# Excess energy over the best structure of this formula in the dataset ... 15 meV/atom

***

No. 2
# PBEsol Al5Ag3, relaxed
data_Al5Ag3
_cell_length_a 4.001
_cell_length_b 4.001
_cell_length_c 8.163
_cell_angle_alpha 90.00
_cell_angle_beta 90.00
_cell_angle_gamma 90.00
_symmetry_space_group_name_H-M 'P -4 m 2'
_symmetry_Int_Tables_number 115
loop_
_symmetry_equiv_pos_as_xyz
'x,y,z'
'y,-x,-z'
'-x,-y,z'
'-y,x,-z'
'-x,y,z'
'-y,-x,-z'
'x,-y,z'
'y,x,-z'
loop_
_atom_site_label
_atom_site_type_symbol
_atom_site_fract_x
_atom_site_fract_y
_atom_site_fract_z
_atom_site_occupancy
Al1 Al 0.000 0.000 0.000 1
Al2 Al 0.000 0.000 0.500 1
Al3 Al 0.000 0.500 0.253 1
Al4 Al 0.500 0.500 0.000 1
Ag1 Ag 0.000 0.500 0.755 1
Ag2 Ag 0.500 0.500 0.500 1
# Excess energy over the best structure of this formula in the dataset ... 47 meV/atom

***

No. 3
# PBEsol Al3Ag5, relaxed
data_Al3Ag5
_cell_length_a 4.053
_cell_length_b 4.053
_cell_length_c 15.724
_cell_angle_alpha 90.00
_cell_angle_beta 90.00
_cell_angle_gamma 90.00
_symmetry_space_group_name_H-M 'I 4 m m'
_symmetry_Int_Tables_number 107
_symmetry_space_group_name_Hall 'I 4 -2'
loop_
_atom_site_label
_atom_site_type_symbol
_atom_site_fract_x
_atom_site_fract_y
_atom_site_fract_z
_atom_site_occupancy
Al1 Al 0.000 0.000 0.000 1
Al2 Al 0.000 0.500 0.129 1
Ag1 Ag 0.000 0.000 0.249 1
Ag2 Ag 0.000 0.000 0.514 1
Ag3 Ag 0.000 0.000 0.749 1
Ag4 Ag 0.000 0.500 0.382 1
# Excess energy over the best structure of this formula in the dataset ... 25 meV/atom

***

No. 4
This record from the Alexandria database describes a geometry-optimized AlAg structure. The functional is PBEsol.

Structure (CIF):
```
data_AlAg
_cell_length_a 9.138
_cell_length_b 8.301
_cell_length_c 5.299
_cell_angle_alpha 90.00
_cell_angle_beta 90.00
_cell_angle_gamma 90.00
_symmetry_space_group_name_H-M 'P b c m'
_symmetry_Int_Tables_number 57
loop_
_symmetry_equiv_pos_as_xyz
'x,y,z'
'-x,-y,-z'
'-x,-y,z+1/2'
'x,y,-z+1/2'
'x,-y+1/2,-z'
'-x,y+1/2,z'
'-x,y+1/2,-z+1/2'
'x,-y+1/2,z+1/2'
loop_
_atom_site_label
_atom_site_type_symbol
_atom_site_fract_x
_atom_site_fract_y
_atom_site_fract_z
_atom_site_occupancy
Al1 Al 0.091 0.120 0.250 1
Al2 Al 0.349 0.250 0.000 1
Al3 Al 0.397 0.652 0.250 1
Ag1 Ag 0.136 0.750 0.000 1
Ag2 Ag 0.167 0.051 0.750 1
Ag3 Ag 0.348 0.531 0.750 1
```

***

No. 5
# PBEsol Al3Ag2, relaxed
data_Al3Ag2
_cell_length_a 3.003
_cell_length_b 3.941
_cell_length_c 13.814
_cell_angle_alpha 90.00
_cell_angle_beta 90.00
_cell_angle_gamma 90.00
_symmetry_space_group_name_H-M 'I m m m'
_symmetry_Int_Tables_number 71
_symmetry_space_group_name_Hall '-I 2 2'
loop_
_atom_site_label
_atom_site_type_symbol
_atom_site_fract_x
_atom_site_fract_y
_atom_site_fract_z
_atom_site_occupancy
Al1 Al 0.000 0.000 0.000 1
Al2 Al 0.000 0.000 0.199 1
Ag1 Ag 0.000 0.000 0.396 1
# Excess energy over the best structure of this formula in the dataset ... 49 meV/atom

***

No. 6
# PBEsol Al5Ag3, relaxed
data_Al5Ag3
_cell_length_a 6.595
_cell_length_b 2.989
_cell_length_c 6.928
_cell_angle_alpha 90.00
_cell_angle_beta 108.14
_cell_angle_gamma 90.00
_symmetry_space_group_name_H-M 'P 1 2/m 1'
_symmetry_Int_Tables_number 10
loop_
_symmetry_equiv_pos_as_xyz
'x,y,z'
'-x,-y,-z'
'-x,y,-z'
'x,-y,z'
loop_
_atom_site_label
_atom_site_type_symbol
_atom_site_fract_x
_atom_site_fract_y
_atom_site_fract_z
_atom_site_occupancy
Al1 Al 0.000 0.000 0.000 1
Al2 Al 0.126 0.500 0.378 1
Al3 Al 0.258 0.000 0.754 1
Ag1 Ag 0.365 0.500 0.121 1
Ag2 Ag 0.500 0.000 0.500 1
# Excess energy over the best structure of this formula in the dataset ... 0 meV/atom

***

No. 7
This record from the Alexandria database describes a geometry-optimized AlAg8 structure. The functional is PBEsol.

Structure (CIF):
```
data_AlAg8
_cell_length_a 8.577
_cell_length_b 8.577
_cell_length_c 4.009
_cell_angle_alpha 90.00
_cell_angle_beta 90.00
_cell_angle_gamma 90.00
_symmetry_space_group_name_H-M 'I 4/m m m'
_symmetry_Int_Tables_number 139
_symmetry_space_group_name_Hall '-I 4 2'
loop_
_atom_site_label
_atom_site_type_symbol
_atom_site_fract_x
_atom_site_fract_y
_atom_site_fract_z
_atom_site_occupancy
Al1 Al 0.000 0.000 0.000 1
Ag1 Ag 0.000 0.331 0.000 1
Ag2 Ag 0.164 0.164 0.500 1
```

***

No. 8
# PBEsol Al3Ag5, relaxed
data_Al3Ag5
_cell_length_a 9.976
_cell_length_b 9.976
_cell_length_c 5.292
_cell_angle_alpha 90.00
_cell_angle_beta 90.00
_cell_angle_gamma 90.00
_symmetry_space_group_name_H-M 'I 4/m c m'
_symmetry_Int_Tables_number 140
_symmetry_space_group_name_Hall '-I 4 2c'
loop_
_atom_site_label
_atom_site_type_symbol
_atom_site_fract_x
_atom_site_fract_y
_atom_site_fract_z
_atom_site_occupancy
Al1 Al 0.000 0.000 0.250 1
Al2 Al 0.173 0.327 0.000 1
Ag1 Ag 0.000 0.500 0.250 1
Ag2 Ag 0.069 0.229 0.500 1
# Excess energy over the best structure of this formula in the dataset ... 67 meV/atom

***

No. 9
# PBEsol Al3Ag5, relaxed
data_Al3Ag5
_cell_length_a 4.788
_cell_length_b 4.946
_cell_length_c 5.769
_cell_angle_alpha 73.16
_cell_angle_beta 89.87
_cell_angle_gamma 78.85
_symmetry_space_group_name_H-M 'P 1'
_symmetry_Int_Tables_number 1
loop_
_symmetry_equiv_pos_as_xyz
'x,y,z'
loop_
_atom_site_label
_atom_site_type_symbol
_atom_site_fract_x
_atom_site_fract_y
_atom_site_fract_z
_atom_site_occupancy
Al1 Al 0.000 0.000 0.000 1
Al2 Al 0.002 0.988 0.503 1
Al3 Al 0.730 0.495 0.128 1
Ag1 Ag 0.226 0.499 0.881 1
Ag2 Ag 0.230 0.506 0.368 1
Ag3 Ag 0.495 0.980 0.756 1
Ag4 Ag 0.511 0.995 0.252 1
Ag5 Ag 0.743 0.471 0.629 1
# Excess energy over the best structure of this formula in the dataset ... 4 meV/atom

***

No. 10
# PBEsol Al3Ag5, relaxed
data_Al3Ag5
_cell_length_a 5.022
_cell_length_b 2.877
_cell_length_c 9.166
_cell_angle_alpha 90.00
_cell_angle_beta 100.81
_cell_angle_gamma 90.00
_symmetry_space_group_name_H-M 'P 1 m 1'
_symmetry_Int_Tables_number 6
loop_
_symmetry_equiv_pos_as_xyz
'x,y,z'
'x,-y,z'
loop_
_atom_site_label
_atom_site_type_symbol
_atom_site_fract_x
_atom_site_fract_y
_atom_site_fract_z
_atom_site_occupancy
Al1 Al 0.000 0.000 0.000 1
Al2 Al 0.246 0.000 0.742 1
Al3 Al 0.492 0.500 0.000 1
Ag1 Ag 0.242 0.500 0.241 1
Ag2 Ag 0.495 0.000 0.499 1
Ag3 Ag 0.744 0.000 0.240 1
Ag4 Ag 0.748 0.500 0.761 1
Ag5 Ag 0.996 0.500 0.504 1
# Excess energy over the best structure of this formula in the dataset ... 42 meV/atom

***

No. 11
# PBEsol Al2Ag3, relaxed
data_Al2Ag3
_cell_length_a 2.8998
_cell_length_b 2.8998
_cell_length_c 33.3170
_cell_angle_alpha 90.00
_cell_angle_beta 90.00
_cell_angle_gamma 120.00
_symmetry_space_group_name_H-M 'R -3 m'
_symmetry_Int_Tables_number 166
_symmetry_space_group_name_Hall '-R 3 2"'
loop_
_atom_site_label
_atom_site_type_symbol
_atom_site_fract_x
_atom_site_fract_y
_atom_site_fract_z
_atom_site_occupancy
Al1 Al 0.0000 0.0000 0.1002 1
Ag1 Ag 0.0000 0.0000 0.2979 1
Ag2 Ag 0.0000 0.0000 0.5000 1
# Excess energy over the best structure of this formula in the dataset ... 15 meV/atom

***

no.,calculated density (g/cm3),calculated formation energy (meV/atom)
1,5.9,-44
2,5.8,-12
3,8.0,-68
4,6.7,11
5,6.0,-19
6,5.9,-59
7,10.0,-42
8,7.8,-25
9,8.0,-89
10,7.9,-51
11,7.8,-69